Entry 1:
Entry from Alexandria: a geometry-optimized LaTiCo2As structure (PBE).

```
data_LaTiCo2As
_space_group_name_H-M_alt 'P 4/m m m'
_space_group_IT_number 123
_space_group_name_Hall '-P 4 2'
_cell_length_a 4.335
_cell_length_b 4.335
_cell_length_c 5.775
_cell_angle_alpha 90.00
_cell_angle_beta 90.00
_cell_angle_gamma 90.00
loop_
_atom_site_label
_atom_site_type_symbol
_atom_site_fract_x
_atom_site_fract_y
_atom_site_fract_z
La1 La 0.000 0.000 0.000
Ti1 Ti 0.000 0.000 0.500
Co1 Co 0.000 0.500 0.500
As1 As 0.500 0.500 0.000
```

Entry 2:
Entry from Alexandria: a geometry-optimized LaTiCoAs2 structure (PBE).

```
data_LaTiCoAs2
_space_group_name_H-M_alt 'P 4/m m m'
_space_group_IT_number 123
_space_group_name_Hall '-P 4 2'
_cell_length_a 4.798
_cell_length_b 4.798
_cell_length_c 5.313
_cell_angle_alpha 90.00
_cell_angle_beta 90.00
_cell_angle_gamma 90.00
loop_
_atom_site_label
_atom_site_type_symbol
_atom_site_fract_x
_atom_site_fract_y
_atom_site_fract_z
La1 La 0.000 0.000 0.000
Ti1 Ti 0.000 0.000 0.500
Co1 Co 0.500 0.500 0.000
As1 As 0.000 0.500 0.500
```

Entry 3:
# LiCoAs2, optimized geometry, DFT PBE
data_LiCoAs2
_space_group_name_H-M_alt 'C 1 2/m 1'
_space_group_IT_number 12
_cell_length_a 5.524
_cell_length_b 7.033
_cell_length_c 2.937
_cell_angle_alpha 90.00
_cell_angle_beta 90.64
_cell_angle_gamma 90.00
loop_
_space_group_symop_operation_xyz
'x,y,z'
'-x,-y,-z'
'-x,y,-z'
'x,-y,z'
'x+1/2,y+1/2,z'
'-x+1/2,-y+1/2,-z'
'-x+1/2,y+1/2,-z'
'x+1/2,-y+1/2,z'
loop_
_atom_site_label
_atom_site_type_symbol
_atom_site_fract_x
_atom_site_fract_y
_atom_site_fract_z
Li1 Li 0.000 0.000 0.000
Co1 Co 0.000 0.500 0.000
As1 As 0.250 0.250 0.500
# Relative energy among the computed polymorphs: 20.3 kJ/mol of atoms

Entry 4:
Entry from Alexandria: a geometry-optimized LiCoAs structure (PBE).

```
data_LiCoAs
_space_group_name_H-M_alt 'C 1 2/m 1'
_space_group_IT_number 12
_cell_length_a 6.843
_cell_length_b 3.952
_cell_length_c 6.323
_cell_angle_alpha 90.00
_cell_angle_beta 90.11
_cell_angle_gamma 90.00
loop_
_space_group_symop_operation_xyz
'x,y,z'
'-x,-y,-z'
'-x,y,-z'
'x,-y,z'
'x+1/2,y+1/2,z'
'-x+1/2,-y+1/2,-z'
'-x+1/2,y+1/2,-z'
'x+1/2,-y+1/2,z'
loop_
_atom_site_label
_atom_site_type_symbol
_atom_site_fract_x
_atom_site_fract_y
_atom_site_fract_z
Li1 Li 0.000 0.000 0.000
Li2 Li 0.000 0.000 0.500
Co1 Co 0.167 0.500 0.136
As1 As 0.166 0.500 0.766
```

Entry 5:
Entry from Alexandria: a geometry-optimized LiCoAs structure (PBE).

```
data_LiCoAs
_space_group_name_H-M_alt 'P 3 m 1'
_space_group_IT_number 156
_cell_length_a 2.9361
_cell_length_b 2.9361
_cell_length_c 5.9945
_cell_angle_alpha 90.00
_cell_angle_beta 90.00
_cell_angle_gamma 120.00
loop_
_space_group_symop_operation_xyz
'x,y,z'
'-y,x-y,z'
'-x+y,-x,z'
'-y,-x,z'
'-x+y,y,z'
'x,x-y,z'
loop_
_atom_site_label
_atom_site_type_symbol
_atom_site_fract_x
_atom_site_fract_y
_atom_site_fract_z
Li1 Li 0.0000 0.0000 0.0000
Co1 Co 0.6667 0.3333 0.6450
As1 As 0.3333 0.6667 0.3766
```

Entry 6:
# LiCoAs2, optimized geometry, DFT PBE
data_LiCoAs2
_space_group_name_H-M_alt 'I -4 2 d'
_space_group_IT_number 122
_space_group_name_Hall 'I -4 2bw'
_cell_length_a 6.140
_cell_length_b 6.140
_cell_length_c 8.823
_cell_angle_alpha 90.00
_cell_angle_beta 90.00
_cell_angle_gamma 90.00
loop_
_atom_site_label
_atom_site_type_symbol
_atom_site_fract_x
_atom_site_fract_y
_atom_site_fract_z
Li1 Li 0.000 0.000 0.000
Co1 Co 0.000 0.000 0.500
As1 As 0.190 0.250 0.625
# Relative energy among the computed polymorphs: 26.4 kJ/mol of atoms

Entry 7:
# LiCoAs2, optimized geometry, DFT PBE
data_LiCoAs2
_space_group_name_H-M_alt 'C 1 m 1'
_space_group_IT_number 8
_cell_length_a 9.286
_cell_length_b 2.994
_cell_length_c 4.368
_cell_angle_alpha 90.00
_cell_angle_beta 94.82
_cell_angle_gamma 90.00
loop_
_space_group_symop_operation_xyz
'x,y,z'
'x,-y,z'
'x+1/2,y+1/2,z'
'x+1/2,-y+1/2,z'
loop_
_atom_site_label
_atom_site_type_symbol
_atom_site_fract_x
_atom_site_fract_y
_atom_site_fract_z
Li1 Li 0.000 0.000 0.000
Co1 Co 0.274 0.500 0.287
As1 As 0.254 0.000 0.859
As2 As 0.465 0.000 0.486
# Relative energy among the computed polymorphs: 18.2 kJ/mol of atoms

Entry 8:
Entry from Alexandria: a geometry-optimized LiCoAs4 structure (PBE).

```
data_LiCoAs4
_space_group_name_H-M_alt 'F -4 3 m'
_space_group_IT_number 216
_space_group_name_Hall 'F -4 2 3'
_cell_length_a 7.768
_cell_length_b 7.768
_cell_length_c 7.768
_cell_angle_alpha 90.00
_cell_angle_beta 90.00
_cell_angle_gamma 90.00
loop_
_atom_site_label
_atom_site_type_symbol
_atom_site_fract_x
_atom_site_fract_y
_atom_site_fract_z
Li1 Li 0.000 0.000 0.000
Co1 Co 0.250 0.250 0.250
As1 As 0.124 0.124 0.624
```

Entry 9:
# LiCoAs2, optimized geometry, DFT PBE
data_LiCoAs2
_space_group_name_H-M_alt 'C 1 2/m 1'
_space_group_IT_number 12
_cell_length_a 7.112
_cell_length_b 3.413
_cell_length_c 5.449
_cell_angle_alpha 90.00
_cell_angle_beta 104.04
_cell_angle_gamma 90.00
loop_
_space_group_symop_operation_xyz
'x,y,z'
'-x,-y,-z'
'-x,y,-z'
'x,-y,z'
'x+1/2,y+1/2,z'
'-x+1/2,-y+1/2,-z'
'-x+1/2,y+1/2,-z'
'x+1/2,-y+1/2,z'
loop_
_atom_site_label
_atom_site_type_symbol
_atom_site_fract_x
_atom_site_fract_y
_atom_site_fract_z
Li1 Li 0.000 0.000 0.000
Co1 Co 0.000 0.500 0.500
As1 As 0.230 0.000 0.688
# Relative energy among the computed polymorphs: 0.0 kJ/mol of atoms

Entry 10:
# LiCoAs2, optimized geometry, DFT PBE
data_LiCoAs2
_space_group_name_H-M_alt 'F -4 3 m'
_space_group_IT_number 216
_space_group_name_Hall 'F -4 2 3'
_cell_length_a 6.148
_cell_length_b 6.148
_cell_length_c 6.148
_cell_angle_alpha 90.00
_cell_angle_beta 90.00
_cell_angle_gamma 90.00
loop_
_atom_site_label
_atom_site_type_symbol
_atom_site_fract_x
_atom_site_fract_y
_atom_site_fract_z
Li1 Li 0.000 0.000 0.000
Co1 Co 0.250 0.250 0.250
As1 As 0.000 0.000 0.500
As2 As 0.250 0.250 0.750
# Relative energy among the computed polymorphs: 45.5 kJ/mol of atoms

Entry 11:
Entry from Alexandria: a geometry-optimized LiCoAs structure (PBE).

```
data_LiCoAs
_space_group_name_H-M_alt 'I 4/m m m'
_space_group_IT_number 139
_space_group_name_Hall '-I 4 2'
_cell_length_a 3.724
_cell_length_b 3.724
_cell_length_c 12.366
_cell_angle_alpha 90.00
_cell_angle_beta 90.00
_cell_angle_gamma 90.00
loop_
_atom_site_label
_atom_site_type_symbol
_atom_site_fract_x
_atom_site_fract_y
_atom_site_fract_z
Li1 Li 0.000 0.000 0.159
Co1 Co 0.000 0.500 0.000
As1 As 0.000 0.000 0.380
```

Entry 12:
# LiCoAs2, optimized geometry, DFT PBE
data_LiCoAs2
_space_group_name_H-M_alt 'P 1 2/m 1'
_space_group_IT_number 10
_cell_length_a 4.152
_cell_length_b 2.909
_cell_length_c 5.167
_cell_angle_alpha 90.00
_cell_angle_beta 112.02
_cell_angle_gamma 90.00
loop_
_space_group_symop_operation_xyz
'x,y,z'
'-x,-y,-z'
'-x,y,-z'
'x,-y,z'
loop_
_atom_site_label
_atom_site_type_symbol
_atom_site_fract_x
_atom_site_fract_y
_atom_site_fract_z
Li1 Li 0.000 0.000 0.000
Co1 Co 0.500 0.500 0.500
As1 As 0.000 0.000 0.500
As2 As 0.500 0.500 0.000
# Relative energy among the computed polymorphs: 22.0 kJ/mol of atoms

| no. | mass density (kg/m³) | formation enthalpy at 0 K (eV per atom) | raw total energy (eV per atom) |
| --- | --- | --- | --- |
| 1 | 5806 | 0.62 | -5.7200 |
| 2 | 5370 | 0.53 | -5.3134 |
| 3 | 6279 | -0.07 | -4.6485 |
| 4 | 5470 | -0.39 | -4.9459 |
| 5 | 5224 | 0.01 | -4.5505 |
| 6 | 4307 | -0.01 | -4.5853 |
| 7 | 5921 | -0.09 | -4.6702 |
| 8 | 5180 | 0.43 | -4.1711 |
| 9 | 5584 | -0.28 | -4.8593 |
| 10 | 6166 | 0.19 | -4.3881 |
| 11 | 5453 | -0.42 | -4.9724 |
| 12 | 6191 | -0.05 | -4.6315 |